Here is Mg3Ag4Sn after structural relaxation from Alexandria. Energies are from PBE.

abc: 4.923 6.422 9.749
angles: 90.00 90.00 90.00
Fractional coordinates of all 16 atoms:
Ag 0.500 0.239 0.000
Mg 0.445 0.000 0.250
Mg 0.000 0.000 0.500
Sn 0.000 0.500 0.500
Ag 0.500 0.761 0.000
Sn 0.000 0.500 0.000
Mg 0.556 0.500 0.750
Ag 0.063 0.238 0.750
Mg 0.000 0.000 0.000
Ag 0.937 0.238 0.250
Ag 0.500 0.239 0.500
Mg 0.555 0.000 0.750
Ag 0.937 0.762 0.250
Ag 0.063 0.762 0.750
Ag 0.500 0.761 0.500
Mg 0.444 0.500 0.250

Output
Crystal system: orthorhombic
Excess energy over the best structure of this formula in the dataset (meV/atom): 0.0
Spin magnetization (μB per cell): 0.0
DFT formation energy (eV/atom): -0.174


Here is Cd6In after structural relaxation from Alexandria. Energies are from PBE.

abc: 6.894 6.894 6.894
angles: 109.47 109.47 109.47
Fractional coordinates of all 7 atoms:
Cd 0.250 0.500 0.750
Cd 0.500 0.750 0.250
Cd 0.500 0.250 0.750
In 0.000 0.000 0.000
Cd 0.750 0.250 0.500
Cd 0.250 0.750 0.500
Cd 0.750 0.500 0.250

Output
Crystal system: cubic
Spin magnetization (μB per cell): 0.0
DFT formation energy (eV/atom): 0.385


Here is Dy2MgSi after structural relaxation from Alexandria. Energies are from PBE.

abc: 4.073 4.778 4.778
angles: 90.00 90.00 90.00
Fractional coordinates of all 4 atoms:
Dy 0.000 0.500 0.000
Mg 0.500 0.500 0.500
Dy 0.000 0.000 0.500
Si 0.500 0.000 0.000

Output
Crystal system: tetragonal
Spin magnetization (μB per cell): 0.0
VASP energy (Ry/atom): -0.3215